{"formula": "Na2LiBi", "functional": "GGA-PBEsol", "state": "optimized geometry", "lattice": [[4.491, 0.000, 0.000], [0.000, 4.491, 0.000], [-2.245, -2.245, 10.964]], "species": ["Bi", "Bi", "Na", "Na", "Na", "Na", "Li", "Li"], "frac_coords": [[0.250, 0.750, 0.500], [0.000, 0.000, 0.000], [0.625, 0.634, 0.750], [0.884, 0.375, 0.250], [0.366, 0.875, 0.250], [0.125, 0.116, 0.750], [0.750, 0.250, 0.500], [0.500, 0.500, 0.000]], "m_tot_mub_per_cell": 0.0, "n_ef_per_ev_cell": 3.12, "formation_enthalpy_0k_ev_per_atom": -0.126, "energy_ev_per_atom": -2.389, "spacegroup": "I-42d, No. 122"}


{"formula": "DyMn12", "functional": "GGA-PBEsol", "state": "optimized geometry", "lattice": [[4.502, 0.000, 0.000], [2.251, 5.771, 0.000], [2.251, 0.000, 5.771]], "species": ["Mn", "Mn", "Mn", "Mn", "Mn", "Mn", "Mn", "Mn", "Mn", "Mn", "Mn", "Mn", "Dy"], "frac_coords": [[0.500, 0.500, 0.000], [0.000, 0.500, 0.000], [0.000, 0.635, 0.365], [0.274, 0.226, 0.226], [0.000, 0.000, 0.500], [0.000, 0.365, 0.635], [0.726, 0.774, 0.774], [0.635, 0.365, 0.365], [0.365, 0.635, 0.635], [0.500, 0.226, 0.774], [0.500, 0.774, 0.226], [0.500, 0.000, 0.500], [0.000, 0.000, 0.000]], "m_tot_mub_per_cell": 0.0, "n_ef_per_ev_cell": 16.57, "formation_enthalpy_0k_ev_per_atom": 0.015, "energy_ev_per_atom": -9.378, "spacegroup": "I4/mmm, No. 139"}


{"formula": "BeTlTe2I", "functional": "GGA-PBEsol", "state": "optimized geometry", "lattice": [[4.990, 0.000, 0.000], [0.000, 4.990, 0.000], [0.000, 0.000, 5.559]], "species": ["Te", "Te", "Tl", "I", "Be"], "frac_coords": [[0.000, 0.500, 0.000], [0.500, 0.000, 0.000], [0.500, 0.500, 0.500], [0.000, 0.000, 0.500], [0.000, 0.000, 0.000]], "m_tot_mub_per_cell": 0.0, "n_ef_per_ev_cell": 3.24, "energy_ev_per_atom": -3.053, "formation_energy_uncorrected_ev_per_fu": 0.184, "spacegroup": "P4/mmm, No. 123"}